No. 1
A plane-wave DFT calculation with PBE was carried out for a geometry-optimized CaSc3Ge structure.

- polymorph energy (0 for the lowest one) (meV per atom) = 1273
- energy relative to the elements (eV per atom) = 1.212
- D(E_F) (states/eV/cell) = 7.82
- symmetry = Pm-3m (221)

```
data_CaSc3Ge
_chemical_formula_sum 'Ca1 Sc3 Ge1'
_symmetry_space_group_name_H-M 'P 1'
_symmetry_Int_Tables_number 1
_cell_length_a 5.081
_cell_length_b 5.081
_cell_length_c 5.081
_cell_angle_alpha 90.00
_cell_angle_beta 90.00
_cell_angle_gamma 90.00
loop_
_symmetry_equiv_pos_as_xyz
'x,y,z'
loop_
_atom_site_label
_atom_site_fract_x
_atom_site_fract_y
_atom_site_fract_z
_atom_site_occupancy
Sc1 0.500 0.000 0.000 1
Sc2 0.000 0.000 0.500 1
Sc3 0.000 0.500 0.000 1
Ge1 0.500 0.500 0.500 1
Ca1 0.000 0.000 0.000 1
```


No. 2
A plane-wave DFT calculation with PBE was carried out for a geometry-optimized AcTbPm2Se6 structure.

- formation energy from raw total energies (kcal/mol of atoms) = -43.22
- D(E_F) (states/eV/cell) = 0.00
- symmetry = R3 (146)

```
data_AcTbPm2Se6
_chemical_formula_sum 'Ac1 Tb1 Pm2 Se6'
_symmetry_space_group_name_H-M 'P 1'
_symmetry_Int_Tables_number 1
_cell_length_a 7.501
_cell_length_b 7.501
_cell_length_c 7.915
_cell_angle_alpha 61.71
_cell_angle_beta 61.71
_cell_angle_gamma 60.00
loop_
_symmetry_equiv_pos_as_xyz
'x,y,z'
loop_
_atom_site_label
_atom_site_fract_x
_atom_site_fract_y
_atom_site_fract_z
_atom_site_occupancy
Se1 0.606 0.222 0.248 1
Se2 0.222 0.924 0.248 1
Se3 0.388 0.720 0.750 1
Se4 0.142 0.388 0.750 1
Se5 0.720 0.142 0.750 1
Se6 0.924 0.606 0.248 1
Pm1 0.520 0.520 0.440 1
Pm2 0.013 0.013 0.961 1
Ac1 0.808 0.808 0.576 1
Tb1 0.318 0.318 0.045 1
```


No. 3
A plane-wave DFT calculation with PBE was carried out for a geometry-optimized Ho3Er3ScSe8 structure.

- formation energy from raw total energies (kcal/mol of atoms) = -41.21
- D(E_F) (states/eV/cell) = 6.46
- symmetry = R-3m (166)

```
data_Ho3Er3ScSe8
_chemical_formula_sum 'Ho3 Er3 Sc1 Se8'
_symmetry_space_group_name_H-M 'P 1'
_symmetry_Int_Tables_number 1
_cell_length_a 8.041
_cell_length_b 8.042
_cell_length_c 8.042
_cell_angle_alpha 120.00
_cell_angle_beta 90.00
_cell_angle_gamma 120.00
loop_
_symmetry_equiv_pos_as_xyz
'x,y,z'
loop_
_atom_site_label
_atom_site_fract_x
_atom_site_fract_y
_atom_site_fract_z
_atom_site_occupancy
Se1 0.753 0.506 0.254 1
Se2 0.247 0.999 0.746 1
Se3 0.248 0.001 0.254 1
Se4 0.251 0.501 0.252 1
Se5 0.753 0.001 0.254 1
Se6 0.749 0.499 0.748 1
Se7 0.247 0.494 0.746 1
Se8 0.752 0.999 0.746 1
Er1 0.500 0.000 0.500 1
Er2 0.500 0.500 0.500 1
Er3 0.000 0.500 0.500 1
Ho1 0.000 0.500 0.000 1
Ho2 0.500 0.500 0.000 1
Ho3 0.000 0.000 0.000 1
Sc1 0.000 0.000 0.500 1
```


No. 4
A plane-wave DFT calculation with PBE was carried out for a geometry-optimized Ca2Sn3PdPt4 structure.

- energy relative to the elements (eV per atom) = -0.727
- D(E_F) (states/eV/cell) = 2.46
- symmetry = P-4m2 (115)

```
data_Ca2Sn3PdPt4
_chemical_formula_sum 'Ca2 Sn3 Pd1 Pt4'
_symmetry_space_group_name_H-M 'P 1'
_symmetry_Int_Tables_number 1
_cell_length_a 4.110
_cell_length_b 4.110
_cell_length_c 12.599
_cell_angle_alpha 90.00
_cell_angle_beta 90.00
_cell_angle_gamma 90.00
loop_
_symmetry_equiv_pos_as_xyz
'x,y,z'
loop_
_atom_site_label
_atom_site_fract_x
_atom_site_fract_y
_atom_site_fract_z
_atom_site_occupancy
Pt1 0.500 0.500 0.000 1
Pt2 0.000 0.500 0.345 1
Pt3 0.000 0.000 0.000 1
Pt4 0.500 0.000 0.655 1
Ca1 0.000 0.500 0.721 1
Ca2 0.500 0.000 0.279 1
Sn1 0.500 0.000 0.862 1
Sn2 0.000 0.000 0.500 1
Sn3 0.000 0.500 0.138 1
Pd1 0.500 0.500 0.500 1
```


No. 5
A plane-wave DFT calculation with PBE was carried out for a geometry-optimized La8CeY4 structure.

- energy relative to the elements (eV per atom) = 0.401
- D(E_F) (states/eV/cell) = 32.90
- symmetry = R-3m (166)

```
data_La8CeY4
_chemical_formula_sum 'La8 Ce1 Y4'
_symmetry_space_group_name_H-M 'P 1'
_symmetry_Int_Tables_number 1
_cell_length_a 12.026
_cell_length_b 12.026
_cell_length_c 7.948
_cell_angle_alpha 90.00
_cell_angle_beta 139.17
_cell_angle_gamma 120.00
loop_
_symmetry_equiv_pos_as_xyz
'x,y,z'
loop_
_atom_site_label
_atom_site_fract_x
_atom_site_fract_y
_atom_site_fract_z
_atom_site_occupancy
La1 0.839 0.671 0.007 1
La2 0.161 0.832 0.993 1
La3 0.336 0.168 0.007 1
La4 0.664 0.832 0.993 1
La5 0.494 0.747 0.240 1
La6 0.506 0.253 0.760 1
La7 0.161 0.329 0.993 1
La8 0.839 0.168 0.007 1
Ce1 0.000 0.500 0.500 1
Y1 0.500 0.500 0.000 1
Y2 0.000 0.500 0.000 1
Y3 0.000 0.000 0.000 1
Y4 0.500 0.000 0.000 1
```


No. 6
A plane-wave DFT calculation with PBE was carried out for a geometry-optimized Ag2TeSe2 structure.

- formation energy from raw total energies (kcal/mol of atoms) = 2.89
- polymorph energy (0 for the lowest one) (meV per atom) = 105
- D(E_F) (states/eV/cell) = 4.74
- symmetry = P4/mbm (127)

```
data_Ag2TeSe2
_chemical_formula_sum 'Ag4 Te2 Se4'
_symmetry_space_group_name_H-M 'P 1'
_symmetry_Int_Tables_number 1
_cell_length_a 7.961
_cell_length_b 7.961
_cell_length_c 3.618
_cell_angle_alpha 90.00
_cell_angle_beta 90.00
_cell_angle_gamma 90.00
loop_
_symmetry_equiv_pos_as_xyz
'x,y,z'
loop_
_atom_site_label
_atom_site_fract_x
_atom_site_fract_y
_atom_site_fract_z
_atom_site_occupancy
Te1 0.500 0.500 0.000 1
Te2 0.000 0.000 0.000 1
Se1 0.818 0.682 0.000 1
Se2 0.182 0.318 0.000 1
Se3 0.318 0.818 0.000 1
Se4 0.682 0.182 0.000 1
Ag1 0.624 0.876 0.500 1
Ag2 0.376 0.124 0.500 1
Ag3 0.876 0.376 0.500 1
Ag4 0.124 0.624 0.500 1
```


No. 7
A plane-wave DFT calculation with PBE was carried out for a geometry-optimized CsSrAs structure.

- energy relative to the elements (eV per atom) = -0.546
- D(E_F) (states/eV/cell) = 0.00
- symmetry = F-43m (216)

```
data_CsSrAs
_chemical_formula_sum 'Cs1 Sr1 As1'
_symmetry_space_group_name_H-M 'P 1'
_symmetry_Int_Tables_number 1
_cell_length_a 5.650
_cell_length_b 5.650
_cell_length_c 5.650
_cell_angle_alpha 60.00
_cell_angle_beta 60.00
_cell_angle_gamma 60.00
loop_
_symmetry_equiv_pos_as_xyz
'x,y,z'
loop_
_atom_site_label
_atom_site_fract_x
_atom_site_fract_y
_atom_site_fract_z
_atom_site_occupancy
As1 0.500 0.500 0.500 1
Sr1 0.750 0.750 0.750 1
Cs1 0.250 0.250 0.250 1
```


No. 8
A plane-wave DFT calculation with PBE was carried out for a geometry-optimized Tb3DyHo structure.

- polymorph energy (0 for the lowest one) (meV per atom) = 0
- energy relative to the elements (eV per atom) = 0.011
- D(E_F) (states/eV/cell) = 18.12
- symmetry = P-1 (2)

```
data_Tb3DyHo
_chemical_formula_sum 'Tb6 Dy2 Ho2'
_symmetry_space_group_name_H-M 'P 1'
_symmetry_Int_Tables_number 1
_cell_length_a 9.564
_cell_length_b 6.702
_cell_length_c 6.255
_cell_angle_alpha 117.78
_cell_angle_beta 109.13
_cell_angle_gamma 95.83
loop_
_symmetry_equiv_pos_as_xyz
'x,y,z'
loop_
_atom_site_label
_atom_site_fract_x
_atom_site_fract_y
_atom_site_fract_z
_atom_site_occupancy
Tb1 0.750 0.450 0.917 1
Tb2 0.550 0.449 0.317 1
Tb3 0.051 0.950 0.484 1
Tb4 0.250 0.950 0.083 1
Tb5 0.949 0.450 0.516 1
Tb6 0.451 0.951 0.684 1
Dy1 0.850 0.950 0.884 1
Dy2 0.150 0.450 0.116 1
Ho1 0.650 0.949 0.284 1
Ho2 0.350 0.451 0.716 1
```